Crystalline AlAsPb2 at its relaxed geometry. Source: the Alexandria database, functional GGA-PBE.

Summary:
SG: I-4m2, No. 119
Final energy: -3.728 eV/atom
Density: 8.32 Mg/m³
Formation energy from the elements: 0.22 eV per atom
Distance to the lowest polymorph of the same formula: 0.742 eV/f.u.

a = 6.108 Å, b = 6.108 Å, c = 6.108 Å
α = 137.44°, β = 137.44°, γ = 61.76°
Fractional positions:
Pb  0.000  0.000  0.000
Al  0.500  0.500  0.000
Pb  0.250  0.750  0.500
As  0.750  0.250  0.500